1.
Computed, not measured: an optimized crystal structure of HfTaAl2 at the PBE-GGA level of DFT.

Geometry as CIF:
```
data_HfTaAl2
_chemical_formula_sum 'Hf1 Ta1 Al2'
_symmetry_space_group_name_H-M 'P 1'
_symmetry_Int_Tables_number 1
_cell_length_a 9.755
_cell_length_b 9.755
_cell_length_c 9.755
_cell_angle_alpha 17.55
_cell_angle_beta 17.55
_cell_angle_gamma 17.55
loop_
_symmetry_equiv_pos_as_xyz
'x,y,z'
loop_
_atom_site_label
_atom_site_fract_x
_atom_site_fract_y
_atom_site_fract_z
Hf1 0.000 0.000 0.000
Ta1 0.500 0.500 0.500
Al1 0.247 0.247 0.247
Al2 0.753 0.753 0.753
```

Output
ΔE_f   -0.098 eV/atom
Calculated volume   18.41 Å³/atom
Magnetization   0.00 μB per formula unit

2.
Computed, not measured: an optimized crystal structure of Hf2Ta2Al at the PBE-GGA level of DFT.

Geometry as CIF:
```
data_Hf2Ta2Al
_chemical_formula_sum 'Hf4 Ta4 Al2'
_symmetry_space_group_name_H-M 'P 1'
_symmetry_Int_Tables_number 1
_cell_length_a 7.123
_cell_length_b 7.123
_cell_length_c 3.999
_cell_angle_alpha 90.00
_cell_angle_beta 90.00
_cell_angle_gamma 90.00
loop_
_symmetry_equiv_pos_as_xyz
'x,y,z'
loop_
_atom_site_label
_atom_site_fract_x
_atom_site_fract_y
_atom_site_fract_z
Hf1 0.169 0.331 0.000
Hf2 0.331 0.831 0.000
Hf3 0.669 0.169 0.000
Hf4 0.831 0.669 0.000
Ta1 0.134 0.634 0.500
Ta2 0.366 0.134 0.500
Ta3 0.634 0.866 0.500
Ta4 0.866 0.366 0.500
Al1 0.000 0.000 0.500
Al2 0.500 0.500 0.500
```

Output
ΔE_f   0.117 eV/atom
Calculated volume   20.29 Å³/atom
Magnetization   0.00 μB per formula unit

3.
Computed, not measured: an optimized crystal structure of HfTaAl2 at the PBE-GGA level of DFT.

Geometry as CIF:
```
data_HfTaAl2
_chemical_formula_sum 'Hf1 Ta1 Al2'
_symmetry_space_group_name_H-M 'P 1'
_symmetry_Int_Tables_number 1
_cell_length_a 4.129
_cell_length_b 4.129
_cell_length_c 4.163
_cell_angle_alpha 90.00
_cell_angle_beta 90.00
_cell_angle_gamma 90.00
loop_
_symmetry_equiv_pos_as_xyz
'x,y,z'
loop_
_atom_site_label
_atom_site_fract_x
_atom_site_fract_y
_atom_site_fract_z
Hf1 0.000 0.000 0.000
Ta1 0.500 0.500 0.000
Al1 0.000 0.500 0.500
Al2 0.500 0.000 0.500
```

Output
ΔE_f   -0.276 eV/atom
Calculated volume   17.74 Å³/atom
Magnetization   0.00 μB per formula unit

4.
Computed, not measured: an optimized crystal structure of HfTa3Al at the PBE-GGA level of DFT.

Geometry as CIF:
```
data_HfTa3Al
_chemical_formula_sum 'Hf1 Ta3 Al1'
_symmetry_space_group_name_H-M 'P 1'
_symmetry_Int_Tables_number 1
_cell_length_a 4.889
_cell_length_b 4.889
_cell_length_c 4.889
_cell_angle_alpha 90.00
_cell_angle_beta 90.00
_cell_angle_gamma 90.00
loop_
_symmetry_equiv_pos_as_xyz
'x,y,z'
loop_
_atom_site_label
_atom_site_fract_x
_atom_site_fract_y
_atom_site_fract_z
Hf1 0.000 0.000 0.000
Ta1 0.000 0.000 0.500
Ta2 0.000 0.500 0.000
Ta3 0.500 0.000 0.000
Al1 0.500 0.500 0.500
```

Output
ΔE_f   1.862 eV/atom
Calculated volume   23.37 Å³/atom
Magnetization   0.00 μB per formula unit

5.
Computed, not measured: an optimized crystal structure of HfTaAlTc at the PBE-GGA level of DFT.

Geometry as CIF:
```
data_HfTaAlTc
_chemical_formula_sum 'Hf1 Ta1 Al1 Tc1'
_symmetry_space_group_name_H-M 'P 1'
_symmetry_Int_Tables_number 1
_cell_length_a 4.604
_cell_length_b 4.604
_cell_length_c 4.604
_cell_angle_alpha 60.00
_cell_angle_beta 60.00
_cell_angle_gamma 60.00
loop_
_symmetry_equiv_pos_as_xyz
'x,y,z'
loop_
_atom_site_label
_atom_site_fract_x
_atom_site_fract_y
_atom_site_fract_z
Hf1 0.000 0.000 0.000
Ta1 0.500 0.500 0.500
Al1 0.750 0.750 0.750
Tc1 0.250 0.250 0.250
```

Output
ΔE_f   -0.229 eV/atom
Calculated volume   17.25 Å³/atom
Magnetization   0.00 μB per formula unit

6.
Computed, not measured: an optimized crystal structure of Hf2TaAlTe at the PBE-GGA level of DFT.

Geometry as CIF:
```
data_Hf2TaAlTe
_chemical_formula_sum 'Hf2 Ta1 Al1 Te1'
_symmetry_space_group_name_H-M 'P 1'
_symmetry_Int_Tables_number 1
_cell_length_a 5.178
_cell_length_b 5.178
_cell_length_c 4.987
_cell_angle_alpha 90.00
_cell_angle_beta 90.00
_cell_angle_gamma 90.00
loop_
_symmetry_equiv_pos_as_xyz
'x,y,z'
loop_
_atom_site_label
_atom_site_fract_x
_atom_site_fract_y
_atom_site_fract_z
Hf1 0.000 0.500 0.000
Hf2 0.500 0.000 0.000
Ta1 0.000 0.000 0.500
Al1 0.500 0.500 0.500
Te1 0.000 0.000 0.000
```

Output
Calculated volume   26.75 Å³/atom
Magnetization   0.00 μB per formula unit
Raw formation energy   1.2301 eV per atom

7.
Computed, not measured: an optimized crystal structure of HfZrTaAl2 at the PBE-GGA level of DFT.

Geometry as CIF:
```
data_HfZrTaAl2
_chemical_formula_sum 'Hf1 Zr1 Ta1 Al2'
_symmetry_space_group_name_H-M 'P 1'
_symmetry_Int_Tables_number 1
_cell_length_a 4.955
_cell_length_b 4.955
_cell_length_c 4.890
_cell_angle_alpha 90.00
_cell_angle_beta 90.00
_cell_angle_gamma 90.00
loop_
_symmetry_equiv_pos_as_xyz
'x,y,z'
loop_
_atom_site_label
_atom_site_fract_x
_atom_site_fract_y
_atom_site_fract_z
Hf1 0.000 0.000 0.000
Zr1 0.000 0.000 0.500
Ta1 0.500 0.500 0.500
Al1 0.000 0.500 0.000
Al2 0.500 0.000 0.000
```

Output
ΔE_f   1.459 eV/atom
Calculated volume   24.01 Å³/atom
Magnetization   0.00 μB per formula unit

8.
Computed, not measured: an optimized crystal structure of TbHf2Al at the PBE-GGA level of DFT.

Geometry as CIF:
```
data_TbHf2Al
_chemical_formula_sum 'Tb1 Hf2 Al1'
_symmetry_space_group_name_H-M 'P 1'
_symmetry_Int_Tables_number 1
_cell_length_a 4.465
_cell_length_b 4.465
_cell_length_c 4.452
_cell_angle_alpha 90.00
_cell_angle_beta 90.00
_cell_angle_gamma 90.00
loop_
_symmetry_equiv_pos_as_xyz
'x,y,z'
loop_
_atom_site_label
_atom_site_fract_x
_atom_site_fract_y
_atom_site_fract_z
Tb1 0.000 0.000 0.000
Hf1 0.000 0.500 0.500
Hf2 0.500 0.000 0.500
Al1 0.500 0.500 0.000
```

Output
ΔE_f   -0.110 eV/atom
Calculated volume   22.19 Å³/atom
Magnetization   0.00 μB per formula unit

What is the magnetization in the eighth record?
0.00 μB per formula unit